# 1
DFT (GGA-PBE) results for a relaxed CaLa2Pm2Mg5 crystal.

Geometry as POSCAR:
```
CaLa2Pm2Mg5
1.0
5.143 0.000 0.000
0.000 10.855 0.000
0.000 0.000 10.855
Mg La Ca Pm
10 4 2 4
Direct
0.500 0.699 0.429 Mg
0.500 0.071 0.801 Mg
0.500 0.571 0.699 Mg
0.500 0.929 0.199 Mg
0.500 0.199 0.071 Mg
0.500 0.301 0.571 Mg
0.500 0.429 0.301 Mg
0.500 0.500 0.000 Mg
0.500 0.801 0.929 Mg
0.500 0.000 0.500 Mg
0.000 0.827 0.673 La
0.000 0.173 0.327 La
0.000 0.673 0.173 La
0.000 0.327 0.827 La
0.000 0.000 0.000 Ca
0.000 0.500 0.500 Ca
0.000 0.878 0.378 Pm
0.000 0.122 0.622 Pm
0.000 0.622 0.878 Pm
0.000 0.378 0.122 Pm
```

**Calculated formation energy**: -4 meV per atom
**Crystal system**: tetragonal
**N(E_F)**: 6.18 states/eV/f.u.



# 2
DFT (GGA-PBE) results for a relaxed NaTl2Cd2 crystal.

Geometry as POSCAR:
```
NaTl2Cd2
1.0
-0.964 -3.246 3.276
-0.909 -3.147 -3.387
5.623 -5.120 -0.030
Na Cd Tl
1 2 2
Direct
0.000 0.000 0.000 Na
0.399 0.399 0.202 Cd
0.601 0.601 0.798 Cd
0.750 0.250 0.500 Tl
0.250 0.750 0.500 Tl
```

**Calculated formation energy**: 25 meV per atom
**Polymorph energy (0 for the lowest one)**: 0.33 eV per formula unit
**Crystal system**: tetragonal
**N(E_F)**: 2.63 states/eV/f.u.